[1]
Computed, not measured: crystalline Ac12H3Pt5 at its relaxed geometry at the PBE-GGA level of DFT.

**Calculated density**: 8.2 g/cm3
**Volume**: 37.5 Å³/atom
**E**: -4.690 eV/atom

Geometry as CIF:
```
data_Ac12H3Pt5
_cell_length_a 18.175
_cell_length_b 18.175
_cell_length_c 18.175
_cell_angle_alpha 90.00
_cell_angle_beta 90.00
_cell_angle_gamma 90.00
_symmetry_space_group_name_H-M 'I a -3 d'
_symmetry_Int_Tables_number 230
_symmetry_space_group_name_Hall '-I 4bd 2c 3'
loop_
_atom_site_label
_atom_site_type_symbol
_atom_site_fract_x
_atom_site_fract_y
_atom_site_fract_z
Ac1 Ac 0.027 0.068 0.648
H1 H 0.000 0.250 0.125
Pt1 Pt 0.000 0.000 0.000
Pt2 Pt 0.000 0.250 0.375
```

***

[2]
Computed, not measured: crystalline CuWSe at its relaxed geometry at the PBE-GGA level of DFT.

**Calculated density**: 10.4 g/cm3
**Volume**: 17.4 Å³/atom
**E**: -6.681 eV/atom

Geometry as CIF:
```
data_CuWSe
_cell_length_a 3.312
_cell_length_b 10.139
_cell_length_c 6.208
_cell_angle_alpha 90.00
_cell_angle_beta 90.00
_cell_angle_gamma 90.00
_symmetry_space_group_name_H-M 'A m a 2'
_symmetry_Int_Tables_number 40
_symmetry_space_group_name_Hall 'A 2 -2a'
loop_
_atom_site_label
_atom_site_type_symbol
_atom_site_fract_x
_atom_site_fract_y
_atom_site_fract_z
Cu1 Cu 0.250 0.093 0.000
W1 W 0.250 0.403 0.157
Se1 Se 0.250 0.178 0.366
```

***

[3]
Computed, not measured: crystalline Sm2DyY6Sc at its relaxed geometry at the PBE-GGA level of DFT.

**Calculated density**: 5.4 g/cm3
**Volume**: 32.1 Å³/atom
**ΔE_f**: 0.118 eV per atom

Geometry as CIF:
```
data_Sm2DyY6Sc
_cell_length_a 9.235
_cell_length_b 15.947
_cell_length_c 8.736
_cell_angle_alpha 90.00
_cell_angle_beta 92.72
_cell_angle_gamma 90.00
_symmetry_space_group_name_H-M 'C 1 2/c 1'
_symmetry_Int_Tables_number 15
_symmetry_space_group_name_Hall '-C 2yc'
loop_
_atom_site_label
_atom_site_type_symbol
_atom_site_fract_x
_atom_site_fract_y
_atom_site_fract_z
Sm1 Sm 0.235 0.054 0.448
Dy1 Dy 0.000 0.469 0.250
Y1 Y 0.036 0.331 0.949
Y2 Y 0.105 0.131 0.091
Y3 Y 0.245 0.205 0.707
Sc1 Sc 0.000 0.054 0.750
```

***

[4]
Computed, not measured: crystalline PmPr3Sc2 at its relaxed geometry at the PBE-GGA level of DFT.

**Calculated density**: 5.4 g/cm3
**Volume**: 33.6 Å³/atom
**ΔE_f**: 0.254 eV per atom

Geometry as CIF:
```
data_PmPr3Sc2
_cell_length_a 14.619
_cell_length_b 9.946
_cell_length_c 5.540
_cell_angle_alpha 90.00
_cell_angle_beta 90.00
_cell_angle_gamma 90.00
_symmetry_space_group_name_H-M 'C m c m'
_symmetry_Int_Tables_number 63
_symmetry_space_group_name_Hall '-C 2c 2'
loop_
_atom_site_label
_atom_site_type_symbol
_atom_site_fract_x
_atom_site_fract_y
_atom_site_fract_z
Pm1 Pm 0.000 0.229 0.250
Pr1 Pr 0.000 0.402 0.750
Pr2 Pr 0.240 0.368 0.750
Sc1 Sc 0.104 0.089 0.750
```